Entry 1:
The following is a DFT calculation (PBE) of crystalline Ce2PrSn at its relaxed geometry.

Computed properties:
The calculation puts the total DFT energy (no corrections) at -5.32 eV/atom. Its space-group type is Fm-3m, No. 225. The crystal system is cubic. The value obtained for the density of states at the Fermi level is 12.8 states/eV per cell. As for the calculated formation energy: -0.160 eV/atom.

Cell: 5.5006 5.5006 5.5006 Å, 60.00 60.00 60.00°
Atoms (fractional coordinates):
Ce 0.7500 0.7500 0.7500
Ce 0.2500 0.2500 0.2500
Sn 0.5000 0.5000 0.5000
Pr 0.0000 0.0000 0.0000



Entry 2:
The following is a DFT calculation (PBE) of crystalline CaTbBiAu at its relaxed geometry.

Computed properties:
The calculation puts the total DFT energy (no corrections) at -4.15 eV/atom. Its space-group type is F-43m, No. 216. The crystal system is cubic. The value obtained for the density of states at the Fermi level is 3.2 states/eV per cell. As for the calculated formation energy: -0.701 eV/atom.

Cell: 5.3395 5.3395 5.3395 Å, 60.00 60.00 60.00°
Atoms (fractional coordinates):
Au 0.0000 0.0000 0.0000
Bi 0.5000 0.5000 0.5000
Ca 0.2500 0.2500 0.2500
Tb 0.7500 0.7500 0.7500



Entry 3:
The following is a DFT calculation (PBE) of crystalline KZnNi2 at its relaxed geometry.

Computed properties:
The calculation puts the total DFT energy (no corrections) at -2.90 eV/atom. Its space-group type is Immm, No. 71. The crystal system is orthorhombic. The value obtained for the density of states at the Fermi level is 4.4 states/eV per cell. As for the calculated formation energy: 0.581 eV/atom.

Cell: 5.6793 5.6793 5.6793 Å, 152.04 124.74 63.05°
Atoms (fractional coordinates):
Ni 0.5420 0.5420 0.0000
Ni 0.9580 0.9580 0.0000
K 0.2500 0.7500 0.5000
Zn 0.7500 0.2500 0.5000



Entry 4:
The following is a DFT calculation (PBE) of crystalline AcSmN2 at its relaxed geometry.

Computed properties:
The calculation puts the total DFT energy (no corrections) at -7.59 eV/atom. Its space-group type is R-3m, No. 166. The crystal system is trigonal. For the uncorrected formation energy, the calculation gives -1.2203 eV/atom. The value obtained for the density of states at the Fermi level is 0.4 states/eV per cell.

Cell: 3.7416 3.7416 6.5334 Å, 73.36 73.36 60.00°
Atoms (fractional coordinates):
Sm 0.0000 0.0000 0.0000
N 0.2556 0.2556 0.2332
N 0.7444 0.7444 0.7668
Ac 0.5000 0.5000 0.5000



Entry 5:
The following is a DFT calculation (PBE) of crystalline Tl2ReI at its relaxed geometry.

Computed properties:
The calculation puts the total DFT energy (no corrections) at -3.42 eV/atom. Its space-group type is Fm-3m, No. 225. The crystal system is cubic. For the uncorrected formation energy, the calculation gives 1.2606 eV/atom. The value obtained for the density of states at the Fermi level is 3.5 states/eV per cell.

Cell: 5.5621 5.5621 5.5621 Å, 60.00 60.00 60.00°
Atoms (fractional coordinates):
Re 0.5000 0.5000 0.5000
I 0.0000 0.0000 0.0000
Tl 0.7500 0.7500 0.7500
Tl 0.2500 0.2500 0.2500



Entry 6:
The following is a DFT calculation (PBE) of crystalline Ce2TeAu at its relaxed geometry.

Computed properties:
The calculation puts the total DFT energy (no corrections) at -5.47 eV/atom. Its space-group type is R-3m, No. 166. The crystal system is trigonal. For the uncorrected formation energy, the calculation gives -0.8974 eV/atom. The value obtained for the density of states at the Fermi level is 15.6 states/eV per cell.

Cell: 4.3083 4.3083 7.9594 Å, 74.30 74.30 60.00°
Atoms (fractional coordinates):
Ce 0.2561 0.2561 0.2317
Ce 0.7439 0.7439 0.7683
Au 0.0000 0.0000 0.0000
Te 0.5000 0.5000 0.5000



Number 2 is which compound?
CaTbBiAu



Number 4 is which compound?
AcSmN2



Copy entry 4 word for word.
The following is a DFT calculation (PBE) of crystalline AcSmN2 at its relaxed geometry.

Computed properties:
The calculation puts the total DFT energy (no corrections) at -7.59 eV/atom. Its space-group type is R-3m, No. 166. The crystal system is trigonal. For the uncorrected formation energy, the calculation gives -1.2203 eV/atom. The value obtained for the density of states at the Fermi level is 0.4 states/eV per cell.

Cell: 3.7416 3.7416 6.5334 Å, 73.36 73.36 60.00°
Atoms (fractional coordinates):
Sm 0.0000 0.0000 0.0000
N 0.2556 0.2556 0.2332
N 0.7444 0.7444 0.7668
Ac 0.5000 0.5000 0.5000